Below is a relaxed structure of CaYSc2, with properties calculated at the GGA-PBE level.

Output
DFT total energy	-20.44	eV/cell

Cell lengths 3.456, 4.884, 7.101 Å; angles 90.00, 90.00, 90.00 degrees
Space group Pmmm (No. 47)
Symmetry-distinct sites (fractional):
Ca 0.000 0.000 0.000
Y 0.000 0.000 0.500
Sc 0.500 0.500 0.271



Below is a relaxed structure of CaY2Sc, with properties calculated at the GGA-PBE level.

Output
DFT total energy	-41.36	eV/cell

Cell lengths 11.814, 3.548, 6.182 Å; angles 90.00, 100.65, 90.00 degrees
Space group Cm (No. 8)
Symmetry-distinct sites (fractional):
Ca 0.000 0.000 0.000
Y 0.240 0.000 0.727
Y 0.492 0.000 0.491
Sc 0.252 0.500 0.259



Below is a relaxed structure of CaYSc2, with properties calculated at the GGA-PBE level.

Output
DFT total energy	-40.74	eV/cell

Cell lengths 11.444, 3.455, 6.104 Å; angles 90.00, 100.09, 90.00 degrees
Space group C2/m (No. 12)
Symmetry-distinct sites (fractional):
Ca 0.000 0.000 0.000
Y 0.000 0.500 0.500
Sc 0.244 0.000 0.731



Below is a relaxed structure of CaY2Sc, with properties calculated at the GGA-PBE level.

Output
DFT total energy	-20.56	eV/cell

Cell lengths 5.067, 5.067, 4.942 Å; angles 90.00, 90.00, 90.00 degrees
Space group P4/mmm (No. 123)
Symmetry-distinct sites (fractional):
Ca 0.000 0.000 0.000
Y 0.000 0.500 0.500
Sc 0.500 0.500 0.000



Below is a relaxed structure of CaY2Sc, with properties calculated at the GGA-PBE level.

Output
DFT total energy	-20.45	eV/cell

Cell lengths 3.868, 5.739, 5.770 Å; angles 90.00, 90.00, 90.00 degrees
Space group Pmmm (No. 47)
Symmetry-distinct sites (fractional):
Ca 0.000 0.000 0.000
Y 0.000 0.500 0.500
Y 0.500 0.000 0.500
Sc 0.500 0.500 0.000



Below is a relaxed structure of CaYSc2, with properties calculated at the GGA-PBE level.

Output
DFT total energy	-40.62	eV/cell

Cell lengths 4.927, 4.927, 9.826 Å; angles 90.00, 90.00, 90.00 degrees
Space group I-4m2 (No. 119)
Symmetry-distinct sites (fractional):
Ca 0.000 0.000 0.000
Y 0.000 0.500 0.250
Sc 0.000 0.000 0.500
Sc 0.000 0.500 0.750



Below is a relaxed structure of CaY2Sc, with properties calculated at the GGA-PBE level.

Output
DFT total energy	-41.18	eV/cell

Cell lengths 7.146, 9.987, 3.550 Å; angles 90.00, 90.00, 90.00 degrees
Space group Cmmm (No. 65)
Symmetry-distinct sites (fractional):
Ca 0.000 0.000 0.000
Y 0.250 0.250 0.500
Sc 0.000 0.500 0.000



Below is a relaxed structure of CaYSc2, with properties calculated at the GGA-PBE level.

Output
DFT total energy	-41.05	eV/cell

Cell lengths 5.375, 3.442, 13.082 Å; angles 90.00, 90.00, 90.00 degrees
Space group Amm2 (No. 38)
Symmetry-distinct sites (fractional):
Ca 0.000 0.000 0.000
Y 0.500 0.000 0.337
Sc 0.000 0.000 0.737
Sc 0.500 0.000 0.618



Below is a relaxed structure of CaY2Sc, with properties calculated at the GGA-PBE level.

Output
DFT total energy	-20.82	eV/cell

Cell lengths 3.568, 3.568, 10.148 Å; angles 90.00, 90.00, 90.00 degrees
Space group P4mm (No. 99)
Symmetry-distinct sites (fractional):
Ca 0.000 0.000 0.000
Y 0.000 0.000 0.476
Y 0.500 0.500 0.719
Sc 0.500 0.500 0.258



Below is a relaxed structure of CaYSc2, with properties calculated at the GGA-PBE level.

Output
DFT total energy	-40.76	eV/cell

Cell lengths 6.976, 9.830, 3.457 Å; angles 90.00, 90.15, 90.00 degrees
Space group C2/m (No. 12)
Symmetry-distinct sites (fractional):
Ca 0.000 0.000 0.000
Y 0.000 0.500 0.000
Sc 0.250 0.250 0.500



Below is a relaxed structure of Ca2YZrSc, with properties calculated at the GGA-PBE level.

Output
DFT total energy	-19.42	eV/cell

Cell lengths 5.603, 5.603, 5.188 Å; angles 90.00, 90.00, 90.00 degrees
Space group P4/mmm (No. 123)
Symmetry-distinct sites (fractional):
Ca 0.000 0.500 0.000
Y 0.000 0.000 0.000
Zr 0.500 0.500 0.500
Sc 0.000 0.000 0.500



Below is a relaxed structure of CaSc2Zn2, with properties calculated at the GGA-PBE level.

Output
DFT total energy	-35.46	eV/cell

Cell lengths 4.334, 4.334, 12.703 Å; angles 90.00, 90.00, 90.00 degrees
Space group I4/mmm (No. 139)
Symmetry-distinct sites (fractional):
Ca 0.000 0.000 0.000
Sc 0.000 0.500 0.250
Zn 0.000 0.000 0.401



Repeat the sixth record exactly.
Below is a relaxed structure of CaYSc2, with properties calculated at the GGA-PBE level.

Output
DFT total energy	-40.62	eV/cell

Cell lengths 4.927, 4.927, 9.826 Å; angles 90.00, 90.00, 90.00 degrees
Space group I-4m2 (No. 119)
Symmetry-distinct sites (fractional):
Ca 0.000 0.000 0.000
Y 0.000 0.500 0.250
Sc 0.000 0.000 0.500
Sc 0.000 0.500 0.750